Entry 1:
BaSm2Co, optimized geometry, DFT PBE; total magnetization = 0.00 μB per atom; energy = -4.51 eV per atom; density = 5.73 g/cm3; formation energy from the elements = 0.1025 eV per atom
1.0
3.9501 0.0000 0.0000
1.9750 3.4209 0.0000
1.9750 1.1403 10.6553
Sm Ba Co
2 1 1
Direct
0.8791 0.8791 0.3626 Sm
0.1209 0.1209 0.6374 Sm
0.0000 0.0000 0.0000 Ba
0.5000 0.5000 0.5000 Co

***

Entry 2:
Mg9Si5, optimized geometry, DFT PBE; total magnetization = 0.00 μB per atom; energy relative to the elements, uncorrected = 1 kJ per mole of atoms; energy = -2.95 eV per atom; density = 2.11 g/cm3; E above lowest polymorph = 127 meV per atom
1.0
-3.6759 0.8796 -5.9183
-1.2182 -6.2773 3.9522
-5.9033 6.9882 8.8556
Si Mg
10 18
Direct
0.9374 0.9716 0.9604 Si
0.0009 0.0016 0.4626 Si
0.5783 0.7760 0.4334 Si
0.7922 0.3962 0.2724 Si
0.7440 0.4213 0.6236 Si
0.0196 0.3466 0.7475 Si
0.9296 0.9820 0.7604 Si
0.1201 0.0680 0.2842 Si
0.3681 0.7043 0.0983 Si
0.6041 0.3284 0.9432 Si
0.7144 0.7253 0.2608 Mg
0.4743 0.9968 0.2763 Mg
0.5071 0.6468 0.6264 Mg
0.1992 0.4693 0.2554 Mg
0.2815 0.9355 0.9333 Mg
0.5861 0.0374 0.5806 Mg
0.1163 0.7814 0.6484 Mg
0.0192 0.3684 0.9643 Mg
0.9628 0.6963 0.0989 Mg
0.4537 0.6199 0.9035 Mg
0.7621 0.0782 0.1103 Mg
0.1499 0.7479 0.4085 Mg
0.3224 0.2369 0.7012 Mg
0.8201 0.5937 0.8236 Mg
0.6004 0.0257 0.8109 Mg
0.3994 0.3041 0.1014 Mg
0.5440 0.3879 0.4112 Mg
0.9928 0.3525 0.4989 Mg

***

Entry 3:
TbTm3Fe, optimized geometry, DFT PBE; total magnetization = 0.00 μB per atom; energy = -5.22 eV per atom; density = 8.55 g/cm3; formation energy from the elements = 0.0838 eV per atom; E above lowest polymorph = 76 meV per atom
1.0
5.1941 0.0000 0.0000
0.0000 5.1941 0.0000
0.0000 0.0000 5.1941
Fe Tm Tb
1 3 1
Direct
0.0000 0.0000 0.0000 Fe
0.5000 0.0000 0.0000 Tm
0.0000 0.5000 0.0000 Tm
0.0000 0.0000 0.5000 Tm
0.5000 0.5000 0.5000 Tb

***

Entry 4:
GeB2IrF, optimized geometry, DFT PBE; total magnetization = 0.00 μB per atom; energy relative to the elements, uncorrected = 46 kJ per mole of atoms; energy = -5.27 eV per atom; density = 6.81 g/cm3
1.0
-0.9410 -1.7971 3.4821
-1.6716 -3.5932 -2.3062
3.6327 -1.7427 0.0823
B Ir Ge F
2 1 1 1
Direct
0.0000 0.0000 0.5000 B
0.5000 0.0000 0.0000 B
0.0000 0.0000 0.0000 Ir
0.5000 0.5000 0.5000 Ge
0.0000 0.5000 0.0000 F

***

Entry 5:
PaNb2O8, optimized geometry, DFT PBE; total magnetization = 0.09 μB per atom; energy relative to the elements, uncorrected = -230 kJ per mole of atoms; energy = -8.69 eV per atom; density = 4.77 g/cm3
1.0
-2.1710 -4.3080 -3.3060
-0.3335 -4.9874 3.9637
-5.3129 -1.7778 3.0512
O Nb Pa
8 2 1
Direct
0.1753 0.3245 0.8988 O
0.8247 0.1012 0.6755 O
0.2066 0.3606 0.3606 O
0.3386 0.8571 0.8571 O
0.7934 0.6394 0.6394 O
0.6614 0.1429 0.1429 O
0.1753 0.8988 0.3245 O
0.8247 0.6755 0.1012 O
0.3180 0.1926 0.1926 Nb
0.6820 0.8074 0.8074 Nb
0.0000 0.0000 0.0000 Pa

***

Entry 6:
Dy12Co5Bi, optimized geometry, DFT PBE; total magnetization = 0.00 μB per atom; energy = -5.54 eV per atom; density = 9.22 g/cm3; formation energy from the elements = -0.2814 eV per atom
1.0
8.3163 0.0029 0.0083
-2.4334 7.9523 -0.0083
-2.9147 -3.9974 6.6848
Co Dy Bi
5 12 1
Direct
0.6216 0.0000 0.6216 Co
0.0000 0.0000 0.0000 Co
0.8885 0.3885 0.5000 Co
0.1115 0.6115 0.5000 Co
0.3784 0.0000 0.3784 Co
0.3115 0.6202 0.3087 Dy
0.1839 0.7092 0.8931 Dy
0.3115 0.0028 0.6913 Dy
0.0099 0.2038 0.8060 Dy
0.8161 0.2908 0.1069 Dy
0.3978 0.2038 0.1940 Dy
0.1839 0.2908 0.4747 Dy
0.8161 0.7092 0.5253 Dy
0.9901 0.7962 0.1940 Dy
0.6022 0.7962 0.8060 Dy
0.6885 0.9972 0.3087 Dy
0.6885 0.3798 0.6913 Dy
0.5000 0.5000 0.0000 Bi

***

Entry 7:
LaPC2, optimized geometry, DFT PBE; total magnetization = 0.00 μB per atom; energy = -7.10 eV per atom; density = 5.85 g/cm3; formation energy from the elements = 0.1002 eV per atom
1.0
-1.9311 -4.8898 2.1959
2.7353 1.1083 4.8735
-2.3420 -0.2799 4.7085
P La C
2 2 4
Direct
0.2500 0.7500 0.5000 P
0.5000 0.5000 0.0000 P
0.0000 0.0000 0.0000 La
0.7500 0.2500 0.5000 La
0.8750 0.7603 0.7500 C
0.3750 0.4897 0.7500 C
0.2397 0.6250 0.2500 C
0.5103 0.1250 0.2500 C

***

Entry 8:
Ca2MgNbW, optimized geometry, DFT PBE; total magnetization = 0.00 μB per atom; energy = -3.77 eV per atom; density = 4.77 g/cm3; formation energy from the elements = 1.9530 eV per atom
1.0
5.0808 0.0000 0.0000
0.0000 5.1452 0.0000
0.0000 0.0000 5.0808
Ca Mg W Nb
2 1 1 1
Direct
0.5000 0.0000 0.0000 Ca
0.0000 0.0000 0.5000 Ca
0.0000 0.0000 0.0000 Mg
0.5000 0.5000 0.5000 W
0.0000 0.5000 0.0000 Nb